(1)
First-principles (PBE) data for a relaxed Ta2CrHg crystal, as listed in Alexandria.

Results
As for the energy of formation: 360 meV per atom.

a = 8.9325 Å, b = 8.9325 Å, c = 8.9325 Å
α = 19.71°, β = 19.71°, γ = 19.71°
Closest atoms and distances in Å follow each position.
Sites, in units of the cell vectors:
Cr 0.2500 0.2500 0.2500  6 Ta 2.58
Hg 0.7500 0.7500 0.7500  6 Ta 3.06, 6 Hg 3.06
Ta 0.9884 0.9884 0.9884  3 Cr 2.58
Ta 0.5116 0.5116 0.5116  3 Cr 2.58



(2)
First-principles (PBE) data for a relaxed Ta2CrHg crystal, as listed in Alexandria.

Results
As for the energy of formation: 493 meV per atom.

a = 5.0081 Å, b = 5.0081 Å, c = 5.1457 Å
α = 84.19°, β = 84.19°, γ = 32.88°
Closest atoms and distances in Å follow each position.
Sites, in units of the cell vectors:
Cr 0.7500 0.7500 0.7500  6 Ta 2.78-2.97, 2 Cr 2.83, 4 Hg 2.94
Hg 0.2500 0.2500 0.2500  2 Hg 2.83, 6 Ta 2.90-2.96, 4 Cr 2.94
Ta 0.9967 0.9967 0.9883  3 Cr 2.78-2.97, 6 Ta 2.83-3.05, 3 Hg 2.90-2.96
Ta 0.5033 0.5033 0.5117  3 Cr 2.78-2.97, 6 Ta 2.83-3.05, 3 Hg 2.90-2.96



> What is the energy of formation in the first record?

360 meV per atom